[1]
# Cs3KV GGA-PBE optimized geometry
# total moment: 4.20 Bohr magnetons per cell
# V: 104.055 Å³ per atom
# formation energy: 103.6 kJ/mol of atoms
data_Cs3KV
_space_group_name_H-M_alt 'P 1'
_space_group_IT_number 1
_cell_length_a 8.043
_cell_length_b 8.043
_cell_length_c 8.043
_cell_angle_alpha 90.00
_cell_angle_beta 90.00
_cell_angle_gamma 90.00
loop_
_space_group_symop_operation_xyz
'x,y,z'
loop_
_atom_site_label
_atom_site_type_symbol
_atom_site_fract_x
_atom_site_fract_y
_atom_site_fract_z
Cs1 Cs 0.000 0.500 0.000
V1 V 0.500 0.500 0.500
K1 K 0.000 0.000 0.000
Cs2 Cs 0.500 0.000 0.000
Cs3 Cs 0.000 0.000 0.500

---

[2]
# La3PrY2As6 GGA-PBE optimized geometry
# total moment: 0.00 Bohr magnetons per cell
# V: 27.763 Å³ per atom
# formation energy: -149.2 kJ/mol of atoms
data_La3PrY2As6
_space_group_name_H-M_alt 'P 1'
_space_group_IT_number 1
_cell_length_a 7.419
_cell_length_b 7.419
_cell_length_c 7.414
_cell_angle_alpha 99.60
_cell_angle_beta 99.60
_cell_angle_gamma 120.00
loop_
_space_group_symop_operation_xyz
'x,y,z'
loop_
_atom_site_label
_atom_site_type_symbol
_atom_site_fract_x
_atom_site_fract_y
_atom_site_fract_z
As1 As 0.259 0.259 0.760
La1 La 0.166 0.834 0.500
As2 As 0.581 0.920 0.759
As3 As 0.419 0.080 0.241
As4 As 0.920 0.581 0.759
As5 As 0.080 0.419 0.241
Pr1 Pr 0.000 0.000 0.000
La2 La 0.500 0.500 0.500
La3 La 0.834 0.166 0.500
Y1 Y 0.667 0.333 0.000
As6 As 0.741 0.741 0.240
Y2 Y 0.333 0.667 0.000

---

[3]
# NaCu3O2 GGA-PBE optimized geometry
# total moment: 0.00 Bohr magnetons per cell
# raw formation energy: -0.664 eV per atom
# V: 15.386 Å³ per atom
data_NaCu3O2
_space_group_name_H-M_alt 'P 1'
_space_group_IT_number 1
_cell_length_a 7.326
_cell_length_b 7.660
_cell_length_c 13.160
_cell_angle_alpha 90.00
_cell_angle_beta 90.00
_cell_angle_gamma 90.00
loop_
_space_group_symop_operation_xyz
'x,y,z'
loop_
_atom_site_label
_atom_site_type_symbol
_atom_site_fract_x
_atom_site_fract_y
_atom_site_fract_z
Cu1 Cu 0.112 0.575 0.744
Na1 Na 0.083 0.639 0.420
O1 O 0.876 0.417 0.399
Na2 Na 0.917 0.361 0.580
O2 O 0.393 0.070 0.116
Cu2 Cu 0.638 0.496 0.392
O3 O 0.607 0.930 0.884
Cu3 Cu 0.388 0.075 0.256
O4 O 0.124 0.583 0.601
Cu4 Cu 0.888 0.925 0.244
Cu5 Cu 0.138 0.004 0.392
Cu6 Cu 0.643 0.675 0.613
O5 O 0.624 0.417 0.899
Cu7 Cu 0.612 0.925 0.744
Cu8 Cu 0.112 0.075 0.756
O6 O 0.124 0.083 0.899
Cu9 Cu 0.857 0.175 0.387
O7 O 0.376 0.083 0.399
Na3 Na 0.417 0.639 0.920
Cu10 Cu 0.357 0.825 0.113
O8 O 0.107 0.070 0.616
O9 O 0.893 0.930 0.384
Cu11 Cu 0.362 0.004 0.892
Cu12 Cu 0.612 0.425 0.756
O10 O 0.876 0.917 0.101
Cu13 Cu 0.143 0.825 0.613
Cu14 Cu 0.888 0.425 0.256
Cu15 Cu 0.388 0.575 0.244
Cu16 Cu 0.143 0.325 0.887
O11 O 0.624 0.917 0.601
Cu17 Cu 0.638 0.996 0.108
O12 O 0.893 0.430 0.116
Cu18 Cu 0.362 0.504 0.608
Cu19 Cu 0.357 0.325 0.387
Cu20 Cu 0.857 0.675 0.113
O13 O 0.376 0.583 0.101
Cu21 Cu 0.862 0.496 0.892
O14 O 0.107 0.570 0.884
Na4 Na 0.917 0.861 0.920
Na5 Na 0.083 0.139 0.080
Cu22 Cu 0.138 0.504 0.108
O15 O 0.393 0.570 0.384
Na6 Na 0.417 0.139 0.580
Cu23 Cu 0.643 0.175 0.887
O16 O 0.607 0.430 0.616
Cu24 Cu 0.862 0.996 0.608
Na7 Na 0.583 0.861 0.420
Na8 Na 0.583 0.361 0.080